[1]
The following is a GGA-PBEsol calculation of a geometry-optimized LuCo4B structure, from Alexandria via LeMat-Bulk.

## Properties
* M_tot: 6.77 μB per cell
* DOS(E_F): 1.3406 states/eV per atom
* energy of formation from the pure elements: -0.37 eV/atom
* calculated density: 10.1 g cm⁻³
* raw total energy: -90.1 eV/cell
* symmetry: P6/mmm (191)

Cell: 4.860 4.860 6.752 Å, 90.00 90.00 120.00°
Site moments in Bohr magnetons follow the coordinates.
Fractional positions:
Co 0.000 0.500 0.285  0.70
Lu 0.000 0.000 0.000  0.70
Co 0.000 0.500 0.715  0.70
Co 0.500 0.500 0.715  0.70
Lu 0.000 0.000 0.500  0.70
Co 0.500 0.000 0.715  0.70
Co 0.667 0.333 0.000  -0.16
Co 0.333 0.667 0.000  -0.18
B 0.667 0.333 0.500  -0.04
Co 0.500 0.500 0.285  1.52
Co 0.500 0.000 0.285  1.52
B 0.333 0.667 0.500  -0.04


[2]
The following is a GGA-PBEsol calculation of a geometry-optimized LiBeMo2 structure, from Alexandria via LeMat-Bulk.

## Properties
* ΔE to the lowest computed polymorph: 0 meV per atom
* M_tot: 0.00 μB per cell
* DOS(E_F): 0.5287 states/eV per atom
* energy of formation from the pure elements: 0.26 eV/atom
* calculated density: 6.3 g cm⁻³
* raw total energy: -28.5 eV/cell
* symmetry: Cmm2 (35)

Cell: 2.601 2.601 8.444 Å, 90.00 90.00 105.52°
Fractional positions:
Be 0.000 0.000 0.507
Mo 0.500 0.500 0.727
Li 0.500 0.500 0.271
Mo 0.000 0.000 0.995


[3]
The following is a GGA-PBEsol calculation of a geometry-optimized ZnMoRu structure, from Alexandria via LeMat-Bulk.

## Properties
* ΔE to the lowest computed polymorph: 0 meV per atom
* M_tot: 0.00 μB per cell
* DOS(E_F): 0.4811 states/eV per atom
* energy of formation from the pure elements: 0.00 eV/atom
* calculated density: 10.4 g cm⁻³
* raw total energy: -23.5 eV/cell
* symmetry: I4mm (107)

Cell: 3.027 3.027 5.056 Å, 107.42 107.42 90.00°
Fractional positions:
Zn 0.329 0.329 0.658
Ru 0.663 0.663 0.325
Mo 0.008 0.008 0.017


[4]
The following is a GGA-PBEsol calculation of a geometry-optimized ZnSiOs structure, from Alexandria via LeMat-Bulk.

## Properties
* M_tot: 0.00 μB per cell
* DOS(E_F): 0.7936 states/eV per atom
* uncorrected formation energy: 0.05 eV/atom
* calculated density: 11.2 g cm⁻³
* raw total energy: -19.4 eV/cell
* symmetry: P3m1 (156)

Cell: 2.834 2.834 6.027 Å, 90.00 90.00 120.00°
Fractional positions:
Os 0.000 0.000 0.981
Zn 0.667 0.333 0.334
Si 0.333 0.667 0.685


Copy entry 3 word for word.
The following is a GGA-PBEsol calculation of a geometry-optimized ZnMoRu structure, from Alexandria via LeMat-Bulk.

## Properties
* ΔE to the lowest computed polymorph: 0 meV per atom
* M_tot: 0.00 μB per cell
* DOS(E_F): 0.4811 states/eV per atom
* energy of formation from the pure elements: 0.00 eV/atom
* calculated density: 10.4 g cm⁻³
* raw total energy: -23.5 eV/cell
* symmetry: I4mm (107)

Cell: 3.027 3.027 5.056 Å, 107.42 107.42 90.00°
Fractional positions:
Zn 0.329 0.329 0.658
Ru 0.663 0.663 0.325
Mo 0.008 0.008 0.017


Number 1 is which compound?
LuCo4B